PBE TlSnHg2Te4, relaxed; ΔE_f (raw) = -0.125 eV per atom; Fermi-level density of states = 0.611 states/eV per atom; total energy = -20.54 eV/f.u.
1.0
7.564 0.000 0.000
3.782 6.295 -0.266
3.782 0.251 6.295
Tl Sn Hg Te
1 1 2 4
direct
0.000 0.000 0.000
0.500 0.500 0.500
0.182 0.318 0.318
0.818 0.682 0.682
0.464 0.119 0.506
0.089 0.881 0.494
0.911 0.506 0.119
0.536 0.494 0.881

=====

PBE TlSnHgTe3, relaxed; ΔE_f (raw) = -0.171 eV per atom; Fermi-level density of states = 0.422 states/eV per atom; total energy = -17.12 eV/f.u.
1.0
-2.508 -3.098 -1.859
1.202 -5.408 7.389
-8.504 5.366 2.531
Tl Sn Hg Te
2 2 2 6
direct
0.250 0.208 0.256
0.750 0.792 0.744
0.250 0.672 0.114
0.750 0.328 0.886
0.250 0.083 0.618
0.750 0.917 0.382
0.750 0.906 0.104
0.250 0.094 0.896
0.250 0.761 0.474
0.750 0.239 0.526
0.750 0.458 0.172
0.250 0.542 0.828

=====

PBE TmSn2HgTe4, relaxed; ΔE_f (raw) = -0.494 eV per atom; Fermi-level density of states = 0.371 states/eV per atom; total energy = -29.30 eV/f.u.
1.0
4.405 0.000 0.000
0.000 7.777 -0.095
0.000 2.793 7.427
Tm Sn Hg Te
1 2 1 4
direct
0.000 0.500 0.500
0.000 0.000 0.000
0.500 0.000 0.500
0.500 0.500 0.000
0.000 0.742 0.742
0.000 0.258 0.258
0.500 0.744 0.267
0.500 0.256 0.733

=====

PBE U3SnHg3Te8, relaxed; ΔE_f (raw) = -0.360 eV per atom; Fermi-level density of states = 1.288 states/eV per atom; total energy = -69.31 eV/f.u.
1.0
8.799 0.000 0.000
-4.399 7.621 -0.036
0.000 -5.043 9.380
U Sn Hg Te
3 1 3 8
direct
0.500 0.000 0.500
0.500 0.500 0.500
0.000 0.500 0.500
0.000 0.000 0.500
0.000 0.000 0.000
0.000 0.500 0.000
0.500 0.500 0.000
0.272 0.545 0.317
0.728 0.455 0.683
0.765 0.530 0.320
0.235 0.470 0.680
0.765 0.054 0.320
0.235 0.946 0.680
0.289 0.054 0.320
0.711 0.946 0.680

=====

PBE ZnSnHgTe2, relaxed; ΔE_f (raw) = 0.321 eV per atom; Fermi-level density of states = 0.494 states/eV per atom; total energy = -10.26 eV/f.u.
1.0
5.801 0.000 0.000
0.000 5.275 0.000
0.000 0.000 5.801
Zn Te Hg Sn
1 2 1 1
direct
0.000 0.500 0.000
0.000 0.000 0.500
0.500 0.000 0.000
0.500 0.500 0.500
0.000 0.000 0.000

=====

PBE ZrSnHg2Te, relaxed; ΔE_f (raw) = 0.916 eV per atom; Fermi-level density of states = 1.193 states/eV per atom; total energy = -11.72 eV/f.u.
1.0
-4.427 1.645 2.575
-1.956 -5.733 0.300
2.516 -0.612 4.715
Te Hg Zr Sn
1 2 1 1
direct
0.000 0.000 0.000
0.000 0.000 0.500
0.500 0.000 0.000
0.500 0.500 0.500
0.000 0.500 0.000

=====

PBE Th3SnHg2, relaxed; Fermi-level density of states = 0.749 states/eV per atom; total energy = -28.68 eV/f.u.
1.0
-4.624 -2.750 -0.856
4.483 -2.644 1.611
-1.734 0.935 6.363
Th Sn Hg
3 1 2
direct
0.000 0.000 0.500
0.667 0.333 0.854
0.333 0.667 0.146
0.000 0.000 0.000
0.667 0.333 0.362
0.333 0.667 0.638

=====

PBE ThSnHg, relaxed; Fermi-level density of states = 0.135 states/eV per atom; total energy = -12.84 eV/f.u.
1.0
4.327 0.000 0.000
0.000 4.734 0.000
0.000 -2.367 4.099
Hg Th Sn
1 1 1
direct
0.037 0.000 0.000
0.696 0.667 0.333
0.267 0.333 0.667

=====

PBE Th3Sn2Hg6, relaxed; Fermi-level density of states = 0.599 states/eV per atom; total energy = -33.76 eV/f.u.
1.0
4.416 0.000 0.000
0.000 4.416 0.000
-2.208 -2.208 16.075
Th Sn Hg
3 2 6
direct
0.000 0.000 0.000
0.833 0.833 0.667
0.167 0.167 0.333
0.357 0.357 0.713
0.643 0.643 0.287
0.072 0.572 0.144
0.572 0.072 0.144
0.928 0.428 0.856
0.428 0.928 0.856
0.735 0.735 0.470
0.265 0.265 0.530

=====

PBE Th3SnHg2, relaxed; Fermi-level density of states = 1.392 states/eV per atom; total energy = -28.77 eV/f.u.
1.0
-4.440 -0.668 -0.575
0.644 -4.885 0.703
-1.405 3.351 6.956
Th Sn Hg
3 1 2
direct
0.500 0.166 0.332
0.500 0.500 0.000
0.500 0.834 0.668
0.000 0.000 0.000
0.000 0.668 0.337
0.000 0.332 0.663

=====

PBE Th5SnHg4, relaxed; Fermi-level density of states = 1.303 states/eV per atom; total energy = -45.04 eV/f.u.
1.0
-0.379 2.598 -2.262
-1.460 -2.183 -2.262
-20.659 4.670 8.828
Th Sn Hg
5 1 4
direct
0.500 0.500 0.101
0.500 0.500 0.300
0.500 0.500 0.500
0.500 0.500 0.700
0.500 0.500 0.899
0.000 0.000 0.000
0.000 0.000 0.200
0.000 0.000 0.400
0.000 0.000 0.600
0.000 0.000 0.800

=====

PBE ThSnHg, relaxed; Fermi-level density of states = 0.549 states/eV per atom; total energy = -11.92 eV/f.u.
1.0
-4.644 -2.122 4.192
4.753 -2.550 3.974
0.446 7.569 4.326
Th Sn Hg
4 4 4
direct
0.519 0.250 0.744
0.019 0.250 0.256
0.481 0.750 0.256
0.981 0.750 0.744
0.750 0.500 0.010
0.750 0.000 0.010
0.250 0.500 0.990
0.250 0.000 0.990
0.250 0.000 0.513
0.250 0.500 0.513
0.750 0.000 0.487
0.750 0.500 0.487